Compound: TaZn2
Source: Alexandria
Functional: GGA-PBE
Structure: optimized geometry

* crystal system: tetragonal
* D(E_F): 6.988 states/eV per cell
* E_tot: -4.42 eV/atom

Lattice parameters (Å, degrees): 3.6397 3.6397 14.6893 90.00 90.00 90.00
Closest atoms and distances in Å follow each position.
Space group I4_1/amd (No. 141, origin choice 2)
Unique sites:
Ta 0.0000 0.2500 0.3750 [4 per cell]  12 Zn 2.82-3.11
Zn 0.0000 0.2500 0.7967 [8 per cell]  3 Zn 2.28-2.30



Compound: LiAc2Mg3Sn4
Source: Alexandria
Functional: GGA-PBE
Structure: optimized geometry

* crystal system: tetragonal
* D(E_F): 2.595 states/eV per cell
* E_tot: -3.57 eV/atom

Lattice parameters (Å, degrees): 4.8583 4.8583 11.6953 90.00 90.00 90.00
Closest atoms and distances in Å follow each position.
Space group P-4m2 (No. 115)
Unique sites:
Li 0.0000 0.0000 0.0000 [1 per cell]  4 Sn 2.91
Ac 0.0000 0.5000 0.7423 [2 per cell]  6 Mg 3.67-3.87, 8 Sn 3.72-3.73, 2 Li 3.87
Mg 0.0000 0.5000 0.3690 [2 per cell]  5 Sn 2.72-2.87
Mg 0.5000 0.5000 0.0000 [1 per cell]  4 Sn 2.91
Sn 0.0000 0.0000 0.5000 [1 per cell]  4 Mg 2.87
Sn 0.0000 0.5000 0.1364 [2 per cell]  3 Mg 2.72-2.91, 2 Li 2.91
Sn 0.5000 0.5000 0.5000 [1 per cell]  4 Mg 2.87



Compound: CaNiP2Ru
Source: Alexandria
Functional: GGA-PBE
Structure: optimized geometry

* crystal system: tetragonal
* D(E_F): 8.164 states/eV per cell
* E_tot: -6.38 eV/atom

Lattice parameters (Å, degrees): 3.9447 3.9447 9.7822 90.00 90.00 90.00
Closest atoms and distances in Å follow each position.
Space group I-4m2 (No. 119)
Unique sites:
Ca 0.0000 0.0000 0.0000 [2 per cell]  8 P 3.03, 4 Ru 3.14, 4 Ni 3.14
Ni 0.0000 0.5000 0.7500 [2 per cell]  4 P 2.34
P 0.0000 0.0000 0.3785 [4 per cell]  2 Ni 2.34, 2 Ru 2.34, 1 P 2.38
Ru 0.0000 0.5000 0.2500 [2 per cell]  4 P 2.34



Compound: CaLaSc2
Source: Alexandria
Functional: GGA-PBE
Structure: optimized geometry

* crystal system: monoclinic
* D(E_F): 13.220 states/eV per cell
* polymorph energy (0 for the lowest one): 0.0756 eV/atom

Lattice parameters (Å, degrees): 11.5336 3.4952 6.1342 90.00 99.85 90.00
Closest atoms and distances in Å follow each position.
Space group C2/m (No. 12)
Unique sites:
Ca 0.0000 0.0000 0.0000 [2 per cell]  2 Ca 3.50, 6 Sc 3.50-3.56, 4 La 3.53
La 0.0000 0.5000 0.5000 [2 per cell]  6 Sc 3.43-3.48, 2 La 3.50, 4 Ca 3.53
Sc 0.2455 0.0000 0.7349 [4 per cell]  6 Sc 3.39-3.68, 3 La 3.43-3.48, 3 Ca 3.50-3.56